Material: Be2CoIr
Method: DFT, PBE
State: optimized geometry

Summary:
- energy above the most stable polymorph in this dataset (kJ/mol of atoms) = 26.3
- total magnetic moment (μB/f.u.) = 0.01
- E (eV per atom) = -6.046
- N(E_F) (states/eV/f.u.) = 2.38

Unit cell a=3.5688 b=2.5971 c=4.5892 alpha=85.32 beta=90.00 gamma=90.00
With the nearest neighbours (Å) after each atom.
Fractional positions:
Be (0.0000, 0.3908, 0.5053)  2 Co 2.18, 1 Be 2.30, 2 Ir 2.34
Be (0.0000, 0.1092, 0.9947)  2 Co 2.18, 1 Be 2.30, 2 Ir 2.34
Ir (0.5000, 0.7500, 0.7500)  4 Be 2.34, 2 Co 2.54, 2 Ir 2.60
Co (0.5000, 0.2500, 0.2500)  4 Be 2.18



Material: Be2CoIr
Method: DFT, PBE
State: optimized geometry

Summary:
- energy above the most stable polymorph in this dataset (kJ/mol of atoms) = 52.7
- total magnetic moment (μB/f.u.) = 1.13
- E (eV per atom) = -5.773
- N(E_F) (states/eV/f.u.) = 3.55

Unit cell a=7.8354 b=7.8354 c=7.8354 alpha=19.16 beta=19.16 gamma=19.16
With the nearest neighbours (Å) after each atom.
Fractional positions:
Be (0.2480, 0.2480, 0.2480)  3 Co 2.29, 3 Be 2.46
Be (0.9992, 0.9992, 0.9992)  3 Ir 2.39, 9 Be 2.46-2.61
Co (0.5063, 0.5063, 0.5063)  3 Be 2.29
Ir (0.7464, 0.7464, 0.7464)  3 Be 2.39, 6 Ir 2.61, 3 Co 2.62



Material: BeCoIr2
Method: DFT, PBE
State: optimized geometry

Summary:
- total magnetic moment (μB/f.u.) = 2.09
- E (eV per atom) = -7.261
- N(E_F) (states/eV/f.u.) = 3.75

Unit cell a=2.7391 b=4.0836 c=8.8903 alpha=90.01 beta=98.63 gamma=90.00
With the nearest neighbours (Å) after each atom.
Fractional positions:
Co (0.3015, 0.2497, 0.5991)  5 Ir 2.46-2.56, 2 Co 2.74
Co (0.6985, 0.7502, 0.4009)  5 Ir 2.46-2.56, 2 Co 2.74
Be (0.5464, 0.2501, 0.0937)  8 Ir 2.34-2.47, 2 Be 2.62
Be (0.4536, 0.7498, 0.9063)  8 Ir 2.34-2.47, 2 Be 2.62
Ir (0.0607, 0.7501, 0.1232)  6 Be 2.34-2.47
Ir (0.9393, 0.2498, 0.8768)  6 Be 2.34-2.47
Ir (0.1579, 0.2502, 0.3189)  2 Be 2.40-2.41, 5 Co 2.46-2.56, 2 Ir 2.67
Ir (0.8421, 0.7498, 0.6811)  2 Be 2.40-2.41, 5 Co 2.46-2.56, 2 Ir 2.67



Material: Be2CoIr
Method: DFT, PBE
State: optimized geometry

Summary:
- energy above the most stable polymorph in this dataset (kJ/mol of atoms) = 55.5
- total magnetic moment (μB/f.u.) = 1.35
- E (eV per atom) = -5.743
- N(E_F) (states/eV/f.u.) = 3.47

Unit cell a=5.8860 b=5.8860 c=4.8668 alpha=52.79 beta=52.79 gamma=90.00
With the nearest neighbours (Å) after each atom.
Fractional positions:
Co (0.5000, 0.5000, 0.0000)  4 Be 2.12
Co (0.2500, 0.7500, 0.5000)  4 Be 2.12
Ir (0.7500, 0.2500, 0.5000)  4 Be 2.23
Ir (0.0000, 0.0000, 0.0000)  4 Be 2.23
Be (0.1400, 0.6250, 0.2500)  2 Co 2.12, 2 Ir 2.23
Be (0.8750, 0.8600, 0.7500)  2 Co 2.12, 2 Ir 2.23
Be (0.3750, 0.3900, 0.7500)  2 Co 2.12, 2 Ir 2.23
Be (0.6100, 0.1250, 0.2500)  2 Co 2.12, 2 Ir 2.23



Material: BeCoIr2
Method: DFT, PBE
State: optimized geometry

Summary:
- total magnetic moment (μB/f.u.) = 0.00
- E (eV per atom) = -7.307
- N(E_F) (states/eV/f.u.) = 3.45

Unit cell a=4.6294 b=4.6294 c=4.3003 alpha=70.02 beta=70.02 gamma=33.84
With the nearest neighbours (Å) after each atom.
Fractional positions:
Ir (0.9932, 0.9932, 0.0591)  3 Co 2.45-2.54, 4 Be 2.53-2.56, 5 Ir 2.69-2.74
Ir (0.7629, 0.7629, 0.6857)  3 Be 2.45-2.53, 4 Co 2.53-2.57, 5 Ir 2.69-2.74
Be (0.5097, 0.5097, 0.5426)  2 Co 2.40, 7 Ir 2.45-2.56
Co (0.2342, 0.2342, 0.2126)  2 Be 2.40, 7 Ir 2.45-2.57



Material: BeCoIr2
Method: DFT, PBE
State: optimized geometry

Summary:
- total magnetic moment (μB/f.u.) = 2.18
- E (eV per atom) = -7.102
- N(E_F) (states/eV/f.u.) = 3.79

Unit cell a=2.7707 b=4.5115 c=4.0847 alpha=90.00 beta=90.00 gamma=90.00
With the nearest neighbours (Å) after each atom.
Fractional positions:
Co (0.0000, 0.5000, 0.5000)  4 Ir 2.47, 4 Be 2.65
Be (0.5000, 0.0000, 0.5000)  4 Ir 2.47, 4 Co 2.65
Ir (0.5000, 0.5000, 0.0000)  4 Co 2.47, 4 Ir 2.65
Ir (0.0000, 0.0000, 0.0000)  4 Be 2.47, 4 Ir 2.65



Material: Be5CoIr4
Method: DFT, PBE
State: optimized geometry

Summary:
- total magnetic moment (μB/f.u.) = 0.68
- E (eV per atom) = -6.607
- N(E_F) (states/eV/f.u.) = 8.72

Unit cell a=2.7860 b=2.7860 c=13.7249 alpha=90.00 beta=90.00 gamma=90.00
With the nearest neighbours (Å) after each atom.
Fractional positions:
Ir (0.0000, 0.0000, 0.1905)  8 Be 2.40-2.43, 1 Co 2.61
Ir (0.0000, 0.0000, 0.3973)  8 Be 2.42-2.43
Ir (0.0000, 0.0000, 0.8095)  8 Be 2.40-2.43, 1 Co 2.61
Ir (0.0000, 0.0000, 0.6027)  8 Be 2.42-2.43
Be (0.5000, 0.5000, 0.0904)  4 Co 2.33, 4 Ir 2.40, 1 Be 2.48
Be (0.5000, 0.5000, 0.7060)  8 Ir 2.43
Be (0.5000, 0.5000, 0.9096)  4 Co 2.33, 4 Ir 2.40, 1 Be 2.48
Be (0.5000, 0.5000, 0.2940)  8 Ir 2.43
Be (0.5000, 0.5000, 0.5000)  8 Ir 2.42
Co (0.0000, 0.0000, 0.0000)  8 Be 2.33



Material: BeCoIr2
Method: DFT, PBE
State: optimized geometry

Summary:
- total magnetic moment (μB/f.u.) = 2.25
- E (eV per atom) = -6.993
- N(E_F) (states/eV/f.u.) = 4.19

Unit cell a=4.1652 b=4.1652 c=4.1652 alpha=60.00 beta=60.00 gamma=60.00
With the nearest neighbours (Å) after each atom.
Fractional positions:
Ir (0.0000, 0.0000, 0.0000)  4 Co 2.55, 4 Ir 2.55
Ir (0.2500, 0.2500, 0.2500)  4 Be 2.55, 4 Ir 2.55
Co (0.7500, 0.7500, 0.7500)  4 Be 2.55, 4 Ir 2.55
Be (0.5000, 0.5000, 0.5000)  4 Co 2.55, 4 Ir 2.55



Material: Be2CoIr
Method: DFT, PBE
State: optimized geometry

Summary:
- energy above the most stable polymorph in this dataset (kJ/mol of atoms) = 30.2
- total magnetic moment (μB/f.u.) = 1.55
- E (eV per atom) = -6.006
- N(E_F) (states/eV/f.u.) = 3.15

Unit cell a=3.9330 b=3.9330 c=3.9330 alpha=60.00 beta=60.00 gamma=60.00
With the nearest neighbours (Å) after each atom.
Fractional positions:
Be (0.0000, 0.0000, 0.0000)  4 Ir 2.41, 4 Be 2.41
Be (0.2500, 0.2500, 0.2500)  4 Co 2.41, 4 Be 2.41
Co (0.5000, 0.5000, 0.5000)  4 Be 2.41, 4 Ir 2.41
Ir (0.7500, 0.7500, 0.7500)  4 Be 2.41, 4 Co 2.41



Material: BeCoIr2
Method: DFT, PBE
State: optimized geometry

Summary:
- total magnetic moment (μB/f.u.) = 2.33
- E (eV per atom) = -6.997
- N(E_F) (states/eV/f.u.) = 5.67

Unit cell a=2.6477 b=2.6477 c=8.2226 alpha=90.00 beta=90.00 gamma=117.87
With the nearest neighbours (Å) after each atom.
Fractional positions:
Co (0.5000, 0.5000, 0.7253)  2 Be 2.26
Ir (0.5000, 0.5000, 0.2831)  2 Be 2.29
Ir (0.0000, 0.0000, 0.9854)  2 Co 2.54, 8 Ir 2.65-2.80
Be (0.0000, 0.0000, 0.5063)  2 Co 2.26, 2 Ir 2.29



Material: Be2CoIr2
Method: DFT, PBE
State: optimized geometry

Summary:
- energy above the most stable polymorph in this dataset (kJ/mol of atoms) = 19.8
- total magnetic moment (μB/f.u.) = 2.50
- E (eV per atom) = -6.554
- N(E_F) (states/eV/f.u.) = 4.74

Unit cell a=6.5201 b=6.5201 c=2.8176 alpha=90.00 beta=90.00 gamma=90.00
With the nearest neighbours (Å) after each atom.
Fractional positions:
Ir (0.8537, 0.6463, 0.0000)  6 Be 2.34-2.40, 2 Co 2.50
Ir (0.6463, 0.1463, 0.0000)  6 Be 2.34-2.40, 2 Co 2.50
Ir (0.1463, 0.3537, 0.0000)  6 Be 2.34-2.40, 2 Co 2.50
Ir (0.3537, 0.8537, 0.0000)  6 Be 2.34-2.40, 2 Co 2.50
Be (0.1511, 0.6511, 0.5000)  6 Ir 2.34-2.40
Be (0.3489, 0.1511, 0.5000)  6 Ir 2.34-2.40
Be (0.6511, 0.8489, 0.5000)  6 Ir 2.34-2.40
Be (0.8489, 0.3489, 0.5000)  6 Ir 2.34-2.40
Co (0.5000, 0.5000, 0.0000)  4 Ir 2.50
Co (0.0000, 0.0000, 0.0000)  4 Ir 2.50



Material: BeCoIr2
Method: DFT, PBE
State: optimized geometry

Summary:
- total magnetic moment (μB/f.u.) = 1.34
- E (eV per atom) = -6.720
- N(E_F) (states/eV/f.u.) = 4.95

Unit cell a=3.7000 b=3.7000 c=8.4781 alpha=77.40 beta=77.40 gamma=90.00
With the nearest neighbours (Å) after each atom.
Fractional positions:
Co (0.0000, 0.0000, 0.0000)  4 Ir 2.42, 4 Be 2.62
Co (0.7500, 0.2500, 0.5000)  4 Ir 2.42, 4 Be 2.62
Ir (0.1357, 0.6250, 0.2500)  2 Be 2.39, 2 Co 2.42, 4 Ir 2.56-2.67
Ir (0.3750, 0.3857, 0.7500)  2 Be 2.39, 2 Co 2.42, 4 Ir 2.56-2.67
Ir (0.8750, 0.8643, 0.7500)  2 Be 2.39, 2 Co 2.42, 4 Ir 2.56-2.67
Ir (0.6143, 0.1250, 0.2500)  2 Be 2.39, 2 Co 2.42, 4 Ir 2.56-2.67
Be (0.5000, 0.5000, 0.0000)  4 Ir 2.39, 4 Co 2.62
Be (0.2500, 0.7500, 0.5000)  4 Ir 2.39, 4 Co 2.62



Q: Which E_form values were calculated for the entries above? A: -191; 82; -123; 112; -169; 36; -489; 145; -151; 141; -98; 418, in meV/atom.